Here is crystalline YZnMo2F at its relaxed geometry from the Alexandria database. Energies are from GGA+U.

abc: 5.5056 5.5056 4.0454
angles: 90.00 90.00 90.00
Closest atoms and distances in Å follow each position.
Space group P4/mmm (No. 123)
Asymmetric unit:
Y (0.0000, 0.0000, 0.0000) [1 per cell]  8 Mo 3.42
Zn (0.5000, 0.5000, 0.5000) [1 per cell]  2 F 2.02
Mo (0.0000, 0.5000, 0.5000) [2 per cell]  2 Zn 2.75
F (0.5000, 0.5000, 0.0000) [1 per cell]  2 Zn 2.02

Summary:
The total energy comes out at -4.165 eV/atom.